## TbSmNi2As2 (PBE)

Data for a relaxed TbSmNi2As2 crystal.

Results
Calculated total energy, eV per atom: -6.027

Structure (CIF):
```
data_TbSmNi2As2
_cell_length_a 4.0790
_cell_length_b 4.0790
_cell_length_c 7.8470
_cell_angle_alpha 90.00
_cell_angle_beta 90.00
_cell_angle_gamma 120.00
_symmetry_space_group_name_H-M 'P -3 m 1'
_symmetry_Int_Tables_number 164
_symmetry_space_group_name_Hall '-P 3 2"'
loop_
_atom_site_label
_atom_site_type_symbol
_atom_site_fract_x
_atom_site_fract_y
_atom_site_fract_z
Tb1 Tb 0.0000 0.0000 0.0000
Sm1 Sm 0.0000 0.0000 0.5000
Ni1 Ni 0.3333 0.6667 0.7529
As1 As 0.3333 0.6667 0.2460
```